# GaBiMo2Ir

Crystalline GaBiMo2Ir at its relaxed geometry (GGA-PBE, the Alexandria database).

Calculated values
Calculated density   10.038 g/cm3
E_form   1.79 eV per atom
Space-group type   P4/mmm, No. 123

abc: 4.6408 4.6408 5.0910
angles: 90.00 90.00 90.00
Element x y z (fractional)
Ga: 0.0000 0.0000 0.0000
Bi: 0.0000 0.0000 0.5000
Mo: 0.0000 0.5000 0.0000
Mo: 0.5000 0.0000 0.0000
Ir: 0.5000 0.5000 0.5000